Here is crystalline LiLa2Sc at its relaxed geometry from the Alexandria database. Energies are from PBE-GGA.

Cell and atoms, written as POSCAR:
```
LiLa2Sc
1.0
1.762 1.017 11.208
-1.762 1.017 11.208
0.000 -2.035 11.208
Li La Sc
1 2 1
direct
0.000 0.000 0.000
0.248 0.248 0.248
0.489 0.489 0.489
0.741 0.741 0.741
```

Space-group type: R3m, No. 160
Energy relative to the lowest polymorph listed for this composition (meV/atom): 56.7
Final energy (eV per atom): -4.38
Fermi-level density of states (states/eV per cell): 5.898
Energy of formation from the pure elements (eV per atom): 0.14